No. 1
MgV6O11F after structural relaxation, computed with PBE with a Hubbard U.

Lattice parameters (Å, degrees): 5.128 5.146 8.670 88.65 89.02 78.49
Space group P1 (No. 1)
Symmetry-distinct sites (fractional):
1 Mg 0.000 0.000 0.000
2 V 0.115 0.500 0.177
3 V 0.120 0.497 0.813
4 V 0.520 0.909 0.647
5 V 0.530 0.903 0.999
6 V 0.553 0.942 0.329
7 V 0.958 0.343 0.500
8 O 0.224 0.236 0.334
9 O 0.234 0.251 0.000
10 O 0.236 0.234 0.653
11 O 0.317 0.749 0.167
12 O 0.326 0.780 0.834
13 O 0.379 0.765 0.505
14 O 0.701 0.084 0.152
15 O 0.736 0.112 0.502
16 O 0.838 0.604 0.663
17 O 0.847 0.607 0.334
18 O 0.879 0.647 0.002
19 F 0.725 0.083 0.829

Calculated values
As for the density: 3.9 g cm⁻³. The volume comes out at 224.1 Å³ per cell. The value obtained for the raw total energy is -141.82 eV/cell.

=====

No. 2
Mg2VO4F after structural relaxation, computed with PBE with a Hubbard U.

Lattice parameters (Å, degrees): 9.430 2.905 6.499 90.00 115.65 90.00
Space group C2/m (No. 12)
Symmetry-distinct sites (fractional):
1 Mg 0.179 0.000 0.149
2 V 0.000 0.000 0.500
3 O 0.105 0.500 0.428
4 O 0.163 0.000 0.799
5 F 0.000 0.500 0.000

Calculated values
As for the density: 3.8 g cm⁻³. The volume comes out at 160.5 Å³ per cell. The value obtained for the raw total energy is -101.49 eV/cell.

=====

Number 1 is which compound?
MgV6O11F

=====

What is the formula in the first record?
MgV6O11F

=====

What is the density in the second record?
3.8 g cm⁻³

=====

density of number 2 (Mg2VO4F)?
3.8 g cm⁻³